(1)
DFT (PBE) results for a relaxed structure of CoRuBr2.

## Properties
M_tot	2.70	Bohr magnetons per cell
ΔE_f (raw)	0.306	eV per atom
polymorph energy (0 for the lowest one)	107	meV/atom

Unit cell a=3.428 b=3.442 c=7.752 alpha=90.00 beta=93.02 gamma=90.00
Fractional positions:
Co: 0.000 0.000 0.000
Ru: 0.488 0.500 0.895
Br: 0.366 0.000 0.662
Br: 0.736 0.500 0.204

(2)
DFT (PBE) results for a relaxed structure of CoRu2Br2.

## Properties
M_tot	2.64	Bohr magnetons per cell
ΔE_f (raw)	1.235	eV per atom

Unit cell a=6.296 b=6.296 c=6.296 alpha=141.40 beta=141.40 gamma=55.74
Fractional positions:
Co: 0.000 0.000 0.000
Ru: 0.397 0.397 0.000
Ru: 0.603 0.603 0.000
Br: 0.250 0.750 0.500
Br: 0.750 0.250 0.500

(3)
DFT (PBE) results for a relaxed structure of CoRuBr2.

## Properties
M_tot	2.69	Bohr magnetons per cell
ΔE_f (raw)	0.348	eV per atom
polymorph energy (0 for the lowest one)	149	meV/atom

Unit cell a=7.323 b=7.323 c=3.622 alpha=103.44 beta=103.44 gamma=30.11
Fractional positions:
Co: 0.000 0.000 0.000
Ru: 0.500 0.500 0.500
Br: 0.369 0.369 0.877
Br: 0.631 0.631 0.123

(4)
DFT (PBE) results for a relaxed structure of CoRuBr2.

## Properties
M_tot	2.72	Bohr magnetons per cell
ΔE_f (raw)	0.521	eV per atom
polymorph energy (0 for the lowest one)	322	meV/atom

Unit cell a=4.879 b=3.618 c=5.479 alpha=90.00 beta=92.05 gamma=90.00
Fractional positions:
Co: 0.000 0.000 0.000
Ru: 0.500 0.000 0.000
Br: 0.258 0.500 0.752
Br: 0.742 0.500 0.248

(5)
DFT (PBE) results for a relaxed structure of CoRuBr2.

## Properties
M_tot	1.89	Bohr magnetons per cell
ΔE_f (raw)	0.910	eV per atom
polymorph energy (0 for the lowest one)	712	meV/atom

Unit cell a=4.545 b=4.545 c=4.545 alpha=60.00 beta=60.00 gamma=60.00
Fractional positions:
Co: 0.000 0.000 0.000
Ru: 0.500 0.500 0.500
Br: 0.250 0.250 0.250
Br: 0.750 0.750 0.750

(6)
DFT (PBE) results for a relaxed structure of CoRuBr2.

## Properties
M_tot	7.55	Bohr magnetons per cell
ΔE_f (raw)	0.706	eV per atom
polymorph energy (0 for the lowest one)	507	meV/atom

Unit cell a=6.881 b=6.881 c=6.881 alpha=131.22 beta=131.22 gamma=71.47
Fractional positions:
Co: 0.000 0.000 0.000
Co: 0.750 0.250 0.500
Ru: 0.250 0.750 0.500
Ru: 0.500 0.500 0.000
Br: 0.106 0.625 0.981
Br: 0.375 0.356 0.481
Br: 0.644 0.125 0.019
Br: 0.875 0.894 0.519

(7)
DFT (PBE) results for a relaxed structure of CoRuBr2.

## Properties
M_tot	3.83	Bohr magnetons per cell
ΔE_f (raw)	0.863	eV per atom
polymorph energy (0 for the lowest one)	664	meV/atom

Unit cell a=3.494 b=3.494 c=7.907 alpha=90.00 beta=90.00 gamma=125.26
Fractional positions:
Co: 0.000 0.000 0.000
Ru: 0.000 0.000 0.500
Br: 0.500 0.500 0.237
Br: 0.500 0.500 0.763

(8)
DFT (PBE) results for a relaxed structure of CoRuBr2.

## Properties
M_tot	3.10	Bohr magnetons per cell
ΔE_f (raw)	0.536	eV per atom
polymorph energy (0 for the lowest one)	337	meV/atom

Unit cell a=8.130 b=8.130 c=8.130 alpha=155.81 beta=155.48 gamma=34.71
Fractional positions:
Co: 0.000 0.000 0.000
Ru: 0.896 0.396 0.500
Br: 0.321 0.821 0.500
Br: 0.578 0.578 0.000

(9)
DFT (PBE) results for a relaxed structure of CoRuBr2.

## Properties
M_tot	0.85	Bohr magnetons per cell
ΔE_f (raw)	0.639	eV per atom
polymorph energy (0 for the lowest one)	440	meV/atom

Unit cell a=8.159 b=8.159 c=8.159 alpha=23.86 beta=23.86 gamma=23.86
Fractional positions:
Co: 0.000 0.000 0.000
Ru: 0.500 0.500 0.500
Br: 0.398 0.398 0.398
Br: 0.602 0.602 0.602

(10)
DFT (PBE) results for a relaxed structure of Co4RuBr.

## Properties
M_tot	8.79	Bohr magnetons per cell
ΔE_f (raw)	0.687	eV per atom

Unit cell a=4.851 b=4.851 c=4.851 alpha=60.00 beta=60.00 gamma=60.00
Fractional positions:
Co: 0.124 0.124 0.124
Co: 0.124 0.124 0.628
Co: 0.124 0.628 0.124
Co: 0.628 0.124 0.124
Ru: 0.750 0.750 0.750
Br: 0.500 0.500 0.500

(11)
DFT (PBE) results for a relaxed structure of CoRu3Br.

## Properties
M_tot	7.63	Bohr magnetons per cell
ΔE_f (raw)	1.595	eV per atom
polymorph energy (0 for the lowest one)	0	meV/atom

Unit cell a=4.580 b=4.580 c=4.580 alpha=90.00 beta=90.00 gamma=90.00
Fractional positions:
Co: 0.000 0.000 0.000
Ru: 0.000 0.000 0.500
Ru: 0.000 0.500 0.000
Ru: 0.500 0.000 0.000
Br: 0.500 0.500 0.500

(12)
DFT (PBE) results for a relaxed structure of CoRuBr2.

## Properties
M_tot	2.57	Bohr magnetons per cell
ΔE_f (raw)	0.887	eV per atom
polymorph energy (0 for the lowest one)	688	meV/atom

Unit cell a=4.561 b=4.561 c=3.208 alpha=90.00 beta=90.00 gamma=90.00
Fractional positions:
Co: 0.000 0.000 0.000
Ru: 0.500 0.500 0.000
Br: 0.000 0.500 0.500
Br: 0.500 0.000 0.500

(13)
DFT (PBE) results for a relaxed structure of CoRuBr2.

## Properties
M_tot	1.45	Bohr magnetons per cell
ΔE_f (raw)	0.199	eV per atom
polymorph energy (0 for the lowest one)	0	meV/atom

Unit cell a=3.686 b=3.686 c=7.799 alpha=96.50 beta=96.50 gamma=60.98
Fractional positions:
Co: 0.000 0.000 0.000
Ru: 0.366 0.366 0.128
Br: 0.485 0.485 0.801
Br: 0.731 0.731 0.325

(14)
DFT (PBE) results for a relaxed structure of Co3RuBr.

## Properties
M_tot	6.81	Bohr magnetons per cell
ΔE_f (raw)	1.443	eV per atom
polymorph energy (0 for the lowest one)	33	meV/atom

Unit cell a=4.621 b=4.621 c=4.621 alpha=90.00 beta=90.00 gamma=90.00
Fractional positions:
Co: 0.000 0.000 0.500
Co: 0.000 0.500 0.000
Co: 0.500 0.000 0.000
Ru: 0.000 0.000 0.000
Br: 0.500 0.500 0.500

(15)
DFT (PBE) results for a relaxed structure of CoRuBr2.

## Properties
M_tot	5.05	Bohr magnetons per cell
ΔE_f (raw)	1.198	eV per atom
polymorph energy (0 for the lowest one)	999	meV/atom

Unit cell a=4.764 b=4.764 c=4.764 alpha=60.00 beta=60.00 gamma=60.00
Fractional positions:
Co: 0.000 0.000 0.000
Ru: 0.250 0.250 0.250
Br: 0.500 0.500 0.500
Br: 0.750 0.750 0.750

(16)
DFT (PBE) results for a relaxed structure of CoRuBr2.

## Properties
M_tot	1.95	Bohr magnetons per cell
ΔE_f (raw)	0.203	eV per atom
polymorph energy (0 for the lowest one)	4	meV/atom

Unit cell a=8.134 b=8.134 c=8.134 alpha=25.85 beta=25.85 gamma=25.85
Fractional positions:
Co: 0.000 0.000 0.000
Ru: 0.288 0.288 0.288
Br: 0.554 0.554 0.554
Br: 0.728 0.728 0.728

(17)
DFT (PBE) results for a relaxed structure of CoRuBr4.

## Properties
M_tot	4.66	Bohr magnetons per cell
ΔE_f (raw)	1.614	eV per atom

Unit cell a=6.117 b=6.117 c=6.117 alpha=60.00 beta=60.00 gamma=60.00
Fractional positions:
Co: 0.000 0.000 0.000
Ru: 0.750 0.750 0.750
Br: 0.375 0.375 0.375
Br: 0.375 0.375 0.875
Br: 0.375 0.875 0.375
Br: 0.875 0.375 0.375

(18)
DFT (PBE) results for a relaxed structure of CoRuBr2.

## Properties
M_tot	4.01	Bohr magnetons per cell
ΔE_f (raw)	0.863	eV per atom
polymorph energy (0 for the lowest one)	664	meV/atom

Unit cell a=5.288 b=5.288 c=5.288 alpha=144.61 beta=108.20 gamma=82.67
Fractional positions:
Co: 0.000 0.000 0.000
Ru: 0.500 0.500 0.000
Br: 0.239 0.739 0.500
Br: 0.761 0.261 0.500

(19)
DFT (PBE) results for a relaxed structure of CoRuBr2.

## Properties
M_tot	3.32	Bohr magnetons per cell
ΔE_f (raw)	0.393	eV per atom
polymorph energy (0 for the lowest one)	194	meV/atom

Unit cell a=3.530 b=3.530 c=8.342 alpha=90.00 beta=90.00 gamma=115.48
Fractional positions:
Co: 0.000 0.000 0.000
Ru: 0.500 0.500 0.153
Br: 0.000 0.000 0.372
Br: 0.500 0.500 0.814

(20)
DFT (PBE) results for a relaxed structure of CoRuBr2.

## Properties
M_tot	0.49	Bohr magnetons per cell
ΔE_f (raw)	0.701	eV per atom
polymorph energy (0 for the lowest one)	502	meV/atom

Unit cell a=7.656 b=7.656 c=7.656 alpha=25.43 beta=25.43 gamma=25.43
Fractional positions:
Co: 0.000 0.000 0.000
Ru: 0.500 0.500 0.500
Br: 0.258 0.258 0.258
Br: 0.742 0.742 0.742

(21)
DFT (PBE) results for a relaxed structure of CoRu3Br.

## Properties
M_tot	4.19	Bohr magnetons per cell
ΔE_f (raw)	1.802	eV per atom
polymorph energy (0 for the lowest one)	206	meV/atom

Unit cell a=4.510 b=4.510 c=4.510 alpha=90.00 beta=90.00 gamma=90.00
Fractional positions:
Co: 0.000 0.000 0.000
Ru: 0.000 0.500 0.500
Ru: 0.500 0.000 0.500
Ru: 0.500 0.500 0.000
Br: 0.500 0.500 0.500

(22)
DFT (PBE) results for a relaxed structure of Co2RuBr8.

## Properties
M_tot	8.04	Bohr magnetons per cell
ΔE_f (raw)	-0.255	eV per atom

Unit cell a=7.831 b=7.831 c=6.275 alpha=93.98 beta=93.98 gamma=81.56
Fractional positions:
Co: 0.188 0.188 0.130
Co: 0.812 0.812 0.870
Ru: 0.000 0.000 0.500
Br: 0.087 0.738 0.719
Br: 0.180 0.180 0.750
Br: 0.262 0.913 0.281
Br: 0.377 0.377 0.233
Br: 0.623 0.623 0.767
Br: 0.738 0.087 0.719
Br: 0.820 0.820 0.250
Br: 0.913 0.262 0.281

(23)
DFT (PBE) results for a relaxed structure of Co3RuBr.

## Properties
M_tot	5.91	Bohr magnetons per cell
ΔE_f (raw)	1.410	eV per atom
polymorph energy (0 for the lowest one)	0	meV/atom

Unit cell a=4.289 b=4.289 c=4.289 alpha=90.00 beta=90.00 gamma=90.00
Fractional positions:
Co: 0.000 0.000 0.500
Co: 0.000 0.500 0.000
Co: 0.500 0.000 0.000
Ru: 0.500 0.500 0.500
Br: 0.000 0.000 0.000

(24)
DFT (PBE) results for a relaxed structure of CoRuSBr2.

## Properties
M_tot	3.70	Bohr magnetons per cell
ΔE_f (raw)	1.059	eV per atom

Unit cell a=4.852 b=4.852 c=4.907 alpha=90.00 beta=90.00 gamma=90.00
Fractional positions:
Co: 0.000 0.000 0.000
Ru: 0.000 0.000 0.500
S: 0.500 0.500 0.000
Br: 0.000 0.500 0.500
Br: 0.500 0.000 0.500

(25)
DFT (PBE) results for a relaxed structure of Sm6CoRu2Br3.

## Properties
M_tot	0.00	Bohr magnetons per cell
ΔE_f (raw)	-0.755	eV per atom

Unit cell a=6.919 b=6.919 c=8.146 alpha=98.15 beta=98.15 gamma=119.96
Fractional positions:
Sm: 0.065 0.393 0.195
Sm: 0.262 0.262 0.804
Sm: 0.393 0.065 0.195
Sm: 0.607 0.935 0.805
Sm: 0.738 0.738 0.196
Sm: 0.935 0.607 0.805
Co: 0.000 0.000 0.000
Ru: 0.334 0.666 0.000
Ru: 0.666 0.334 0.000
Br: 0.168 0.832 0.500
Br: 0.500 0.500 0.500
Br: 0.832 0.168 0.500

(26)
DFT (PBE) results for a relaxed structure of Sm6Co2RuBr3.

## Properties
M_tot	0.00	Bohr magnetons per cell
ΔE_f (raw)	-0.746	eV per atom

Unit cell a=9.864 b=9.864 c=9.045 alpha=112.79 beta=112.79 gamma=23.15
Fractional positions:
Sm: 0.013 0.013 0.225
Sm: 0.320 0.320 0.448
Sm: 0.344 0.344 0.881
Sm: 0.656 0.656 0.119
Sm: 0.680 0.680 0.552
Sm: 0.987 0.987 0.775
Co: 0.168 0.168 0.337
Co: 0.832 0.832 0.663
Ru: 0.500 0.500 0.000
Br: 0.166 0.166 0.833
Br: 0.500 0.500 0.500
Br: 0.834 0.834 0.167

(27)
DFT (PBE) results for a relaxed structure of TlCo2RuBr.

## Properties
M_tot	6.10	Bohr magnetons per cell
ΔE_f (raw)	2.016	eV per atom

Unit cell a=4.839 b=4.839 c=5.759 alpha=90.00 beta=90.00 gamma=90.00
Fractional positions:
Tl: 0.000 0.000 0.000
Co: 0.000 0.500 0.000
Co: 0.500 0.000 0.000
Ru: 0.500 0.500 0.500
Br: 0.000 0.000 0.500

(28)
DFT (PBE) results for a relaxed structure of CoS2Br.

## Properties
M_tot	1.52	Bohr magnetons per cell
ΔE_f (raw)	1.033	eV per atom
polymorph energy (0 for the lowest one)	1232	meV/atom

Unit cell a=4.552 b=4.552 c=4.552 alpha=60.00 beta=60.00 gamma=60.00
Fractional positions:
Co: 0.000 0.000 0.000
S: 0.250 0.250 0.250
S: 0.750 0.750 0.750
Br: 0.500 0.500 0.500